The following is a DFT calculation (PBE-GGA) of a geometry-optimized AgPCS2 structure.

Properties
The value obtained for the relative energy among the computed polymorphs is 0.0 meV/atom. The calculation puts the energy relative to the elements, uncorrected at 1.170 eV/atom.

CIF file:
```
data_AgPCS2
_cell_length_a 4.443
_cell_length_b 4.443
_cell_length_c 3.814
_cell_angle_alpha 90.00
_cell_angle_beta 90.00
_cell_angle_gamma 90.00
_symmetry_space_group_name_H-M 'P 1'
_symmetry_Int_Tables_number 1
loop_
_symmetry_equiv_pos_as_xyz
'x,y,z'
loop_
_atom_site_label
_atom_site_type_symbol
_atom_site_fract_x
_atom_site_fract_y
_atom_site_fract_z
_atom_site_occupancy
P1 P 0.000 0.000 0.500 1
S1 S 0.000 0.500 0.000 1
S2 S 0.500 0.000 0.000 1
C1 C 0.000 0.000 0.000 1
Ag1 Ag 0.500 0.500 0.500 1
```